[1]
Density functional theory data (PBE) for a geometry-optimized NdNi2As2 structure.

Output
Final energy   -5.957 eV/atom
Energy relative to the elements   -0.83 eV/atom

a = 4.216 Å, b = 4.216 Å, c = 9.484 Å
α = 90.00°, β = 90.00°, γ = 90.00°
Fractional coordinates of all 10 atoms:
1 Ni 0.250 0.250 0.881
2 Ni 0.250 0.750 0.500
3 Ni 0.750 0.750 0.119
4 Ni 0.750 0.250 0.500
5 As 0.750 0.750 0.371
6 As 0.250 0.750 0.000
7 As 0.750 0.250 0.000
8 As 0.250 0.250 0.629
9 Nd 0.250 0.250 0.252
10 Nd 0.750 0.750 0.748

[2]
Density functional theory data (PBE) for a geometry-optimized TiTcSb2Pt structure.

Output
Final energy   -5.678 eV/atom
Uncorrected formation energy   0.831 eV/atom

a = 5.062 Å, b = 4.858 Å, c = 5.062 Å
α = 90.00°, β = 90.00°, γ = 90.00°
Fractional coordinates of all 5 atoms:
1 Sb 0.000 0.000 0.500
2 Sb 0.500 0.000 0.000
3 Tc 0.000 0.000 0.000
4 Pt 0.000 0.500 0.000
5 Ti 0.500 0.500 0.500

[3]
Density functional theory data (PBE) for a geometry-optimized BeVP3 structure.

Output
Final energy   -5.094 eV/atom
Energy relative to the elements   0.72 eV/atom

a = 4.501 Å, b = 4.501 Å, c = 4.501 Å
α = 90.00°, β = 90.00°, γ = 90.00°
Fractional coordinates of all 5 atoms:
1 P 0.000 0.500 0.000
2 P 0.000 0.000 0.500
3 P 0.500 0.000 0.000
4 V 0.000 0.000 0.000
5 Be 0.500 0.500 0.500

[4]
Density functional theory data (PBE) for a geometry-optimized BaCuAs2Br structure.

Output
Final energy   -2.613 eV/atom
Uncorrected formation energy   0.785 eV/atom

a = 6.551 Å, b = 6.551 Å, c = 6.113 Å
α = 90.00°, β = 90.00°, γ = 90.00°
Fractional coordinates of all 5 atoms:
1 As 0.000 0.500 0.000
2 As 0.500 0.000 0.000
3 Cu 0.500 0.500 0.500
4 Ba 0.000 0.000 0.000
5 Br 0.000 0.000 0.500

[5]
Density functional theory data (PBE) for a geometry-optimized Nb2AlBr structure.

Output
Final energy   -5.896 eV/atom
Uncorrected formation energy   0.493 eV/atom

a = 4.011 Å, b = 4.011 Å, c = 10.169 Å
α = 78.63°, β = 78.63°, γ = 90.00°
Fractional coordinates of all 8 atoms:
1 Nb 0.621 0.125 0.250
2 Nb 0.129 0.625 0.250
3 Nb 0.375 0.379 0.750
4 Nb 0.875 0.871 0.750
5 Al 0.500 0.500 0.000
6 Al 0.250 0.750 0.500
7 Br 0.000 0.000 0.000
8 Br 0.750 0.250 0.500

[6]
Density functional theory data (PBE) for a geometry-optimized Zr2AgW structure.

Output
Final energy   -7.988 eV/atom
Energy relative to the elements   0.24 eV/atom

a = 5.545 Å, b = 5.545 Å, c = 5.545 Å
α = 141.83°, β = 130.93°, γ = 63.81°
Fractional coordinates of all 4 atoms:
1 Ag 0.491 0.491 0.000
2 W 0.246 0.746 0.500
3 Zr 0.014 0.014 0.000
4 Zr 0.750 0.250 0.500